Crystalline BeTeAu at its relaxed geometry, computed with GGA-PBE.

a b c (Å): 3.764 5.010 12.502
angles (deg): 90.00 90.00 90.00
Space group Fmm2 (No. 42)
One atom of each set of equivalent atoms:
Be: 0.000 0.000 0.000
Te: 0.000 0.000 0.346
Au: 0.000 0.000 0.607

V, Å³ per cell: 235.7
Mass density, g/cm³: 9.40
Formation energy from raw total energies, eV per atom: 0.2772